KTcAgS3 after structural relaxation, computed with PBE-GGA.

Computed properties:
- calculated volume (Å³/atom) = 22.0
- crystal system = orthorhombic
- final energy (eV per atom) = -4.79
- SG = Cmcm, No. 63

Geometry as POSCAR:
```
KTcAgS3
1.0
1.8478 -7.2666 0.0000
1.8478 7.2666 0.0000
0.0000 0.0000 9.8390
K Tc Ag S
2 2 2 6
Cartesian
1.8478 3.6965 7.3792
1.8478 -3.6965 2.4597
1.8478 0.0000 0.0000
1.8478 0.0000 4.9195
1.8478 6.4720 2.4597
1.8478 -6.4720 7.3792
1.8478 5.5965 0.2053
1.8478 5.5965 4.7142
1.8478 0.9234 2.4597
1.8478 -0.9234 7.3792
1.8478 -5.5965 5.1248
1.8478 -5.5965 9.6337
```

---

ThNbAs after structural relaxation, computed with PBE-GGA.

Computed properties:
- calculated volume (Å³/atom) = 23.6
- crystal system = cubic
- final energy (eV per atom) = -7.28
- SG = F-43m, No. 216

Geometry as POSCAR:
```
ThNbAs
1.0
0.0000 3.2856 3.2856
3.2856 0.0000 3.2856
3.2856 3.2856 0.0000
Th Nb As
1 1 1
Cartesian
0.0000 0.0000 0.0000
4.9285 4.9285 4.9285
3.2856 3.2856 3.2856
```

---

Y4B3Au after structural relaxation, computed with PBE-GGA.

Computed properties:
- calculated volume (Å³/atom) = 20.6
- crystal system = hexagonal
- final energy (eV per atom) = -6.15
- SG = P6_3/mmc, No. 194

Geometry as POSCAR:
```
Y4B3Au
1.0
3.6620 0.0000 0.0000
-1.8310 3.1714 0.0000
0.0000 0.0000 28.4454
Y B Au
8 6 2
Cartesian
0.0000 0.0000 4.8759
0.0000 0.0000 9.3468
0.0000 0.0000 19.0986
0.0000 0.0000 23.5695
0.0000 2.1143 1.6614
0.0000 2.1143 12.5613
1.8310 1.0571 15.8841
1.8310 1.0571 26.7840
0.0000 0.0000 0.0000
0.0000 0.0000 14.2227
0.0000 2.1143 17.6242
0.0000 2.1143 25.0439
1.8310 1.0571 3.4015
1.8310 1.0571 10.8212
0.0000 2.1143 7.1114
1.8310 1.0571 21.3341
```

---

BaNaTmTe3 after structural relaxation, computed with PBE-GGA.

Computed properties:
- calculated volume (Å³/atom) = 33.8
- crystal system = orthorhombic
- final energy (eV per atom) = -4.19
- SG = Cmcm, No. 63

Geometry as POSCAR:
```
BaNaTmTe3
1.0
2.3233 -7.5873 0.0000
2.3233 7.5873 0.0000
0.0000 0.0000 11.5156
Ba Na Tm Te
2 2 2 6
Cartesian
2.3233 3.8247 8.6367
2.3233 -3.8247 2.8789
2.3233 0.4372 2.8789
2.3233 -0.4372 8.6367
0.0000 0.0000 0.0000
0.0000 0.0000 5.7578
2.3233 6.3450 2.8789
2.3233 2.0776 0.4822
2.3233 2.0776 5.2756
2.3233 -2.0776 6.2400
2.3233 -2.0776 11.0334
2.3233 -6.3450 8.6367
```

---

KPuAgSe3 after structural relaxation, computed with PBE-GGA.

Computed properties:
- calculated volume (Å³/atom) = 28.1
- crystal system = orthorhombic
- final energy (eV per atom) = -5.85
- SG = Cmcm, No. 63

Geometry as POSCAR:
```
KPuAgSe3
1.0
2.1311 -7.3272 0.0000
2.1311 7.3272 0.0000
0.0000 0.0000 10.7814
K Pu Ag Se
2 2 2 6
Cartesian
2.1311 3.6731 8.0860
2.1311 -3.6731 2.6953
2.1311 0.0000 0.0000
2.1311 0.0000 5.3907
2.1311 6.7958 2.6953
2.1311 -6.7958 8.0860
2.1311 5.4687 0.4569
2.1311 5.4687 4.9338
2.1311 1.0570 2.6953
2.1311 -1.0570 8.0860
2.1311 -5.4687 5.8476
2.1311 -5.4687 10.3245
```

---

Cs4Zr3S14 after structural relaxation, computed with PBE-GGA.

Computed properties:
- calculated volume (Å³/atom) = 29.7
- crystal system = monoclinic
- final energy (eV per atom) = -5.27
- SG = C2/c, No. 15

Geometry as POSCAR:
```
Cs4Zr3S14
1.0
11.1321 -4.2959 0.0000
11.1321 4.2959 0.0000
-5.4027 0.0000 13.0453
Cs Zr S
8 6 28
Cartesian
4.4740 1.5649 5.0659
5.1286 2.2432 11.1799
9.0317 2.2432 8.3881
1.7726 -1.5649 11.5885
15.0890 1.5649 1.4568
7.8299 -2.2432 4.6572
11.7330 -2.2432 1.8654
12.3876 -1.5649 7.9794
6.9337 2.1279 1.1181
9.7815 2.0367 3.2613
12.6292 2.1279 5.4046
4.2323 -2.1279 7.6408
7.0801 -2.0367 9.7840
9.9279 -2.1279 11.9272
9.1386 3.5826 1.1265
1.3576 1.8546 11.7288
7.4144 2.8786 3.7867
1.0503 0.3814 5.0979
10.4244 3.5826 5.3962
-1.6511 -0.3814 11.6205
12.1486 2.8786 2.7360
8.0788 1.3721 5.0838
3.8144 0.1615 8.6743
6.5158 -0.1615 2.1516
11.4842 1.3721 1.4389
8.5382 0.1578 1.7085
5.8368 -0.1578 8.2312
4.0590 -1.8546 5.2061
12.8026 1.8546 7.8392
11.0248 0.1578 4.8142
8.3234 -0.1578 11.3368
5.3774 -1.3721 11.6064
10.3458 0.1615 10.8937
13.0472 -0.1615 4.3710
8.7828 -1.3721 7.9616
4.7130 -2.8786 10.3094
18.5127 0.3814 1.4248
6.4372 -3.5826 7.6491
15.8113 -0.3814 7.9474
9.4472 -2.8786 9.2586
15.5040 -1.8546 1.3165
7.7230 -3.5826 11.9189
```

---

NaNbCuTeS2 after structural relaxation, computed with PBE-GGA.

Computed properties:
- calculated volume (Å³/atom) = 21.4
- crystal system = orthorhombic
- final energy (eV per atom) = -5.11
- SG = Cmcm, No. 63

Geometry as POSCAR:
```
NaNbCuTeS2
1.0
1.7857 -7.2568 0.0000
1.7857 7.2568 0.0000
0.0000 0.0000 9.9088
Na Nb Cu Te S
2 2 2 2 4
Cartesian
1.7857 4.2444 7.4316
1.7857 -4.2444 2.4772
0.0000 0.0000 0.0000
0.0000 0.0000 4.9544
1.7857 0.3656 2.4772
1.7857 -0.3656 7.4316
1.7857 5.7292 2.4772
1.7857 -5.7292 7.4316
1.7857 1.6641 0.6444
1.7857 1.6641 4.3100
1.7857 -1.6641 5.5988
1.7857 -1.6641 9.2644
```

---

HoCuSi2Ir after structural relaxation, computed with PBE-GGA.

Computed properties:
- calculated volume (Å³/atom) = 16.2
- crystal system = tetragonal
- final energy (eV per atom) = -6.37
- SG = I-4m2, No. 119

Geometry as POSCAR:
```
HoCuSi2Ir
1.0
-2.0134 2.0134 4.9821
2.0134 -2.0134 4.9821
2.0134 2.0134 -4.9821
Ho Cu Si Ir
1 1 2 1
Cartesian
0.0000 0.0000 0.0000
2.0134 0.0000 2.4910
0.0000 0.0000 3.8041
0.0000 0.0000 6.1601
0.0000 2.0134 2.4910
```

---

Number 3 is which compound?
Y4B3Au

---

What did the first record say?
KTcAgS3 after structural relaxation, computed with PBE-GGA.

Computed properties:
- calculated volume (Å³/atom) = 22.0
- crystal system = orthorhombic
- final energy (eV per atom) = -4.79
- SG = Cmcm, No. 63

Geometry as POSCAR:
```
KTcAgS3
1.0
1.8478 -7.2666 0.0000
1.8478 7.2666 0.0000
0.0000 0.0000 9.8390
K Tc Ag S
2 2 2 6
Cartesian
1.8478 3.6965 7.3792
1.8478 -3.6965 2.4597
1.8478 0.0000 0.0000
1.8478 0.0000 4.9195
1.8478 6.4720 2.4597
1.8478 -6.4720 7.3792
1.8478 5.5965 0.2053
1.8478 5.5965 4.7142
1.8478 0.9234 2.4597
1.8478 -0.9234 7.3792
1.8478 -5.5965 5.1248
1.8478 -5.5965 9.6337
```

---

The highest final energy belongs to which entry?
BaNaTmTe3